Record 1
{
  "formula": "Ho2CoC2",
  "functional": "PBE-GGA",
  "state": "relaxed",
  "cell": [[3.342, 0.000, 0.000], [1.671, 5.396, 0.054], [1.671, 0.859, 8.006]],
  "species": ["Co", "Co", "C", "C", "C", "C", "Ho", "Ho", "Ho", "Ho"],
  "fractional_positions": [[0.226, 0.938, 0.609], [0.774, 0.062, 0.391], [0.032, 0.113, 0.823], [0.824, 0.773, 0.578], [0.176, 0.227, 0.422], [0.968, 0.887, 0.177], [0.485, 0.361, 0.669], [0.346, 0.208, 0.101], [0.515, 0.639, 0.331], [0.654, 0.792, 0.899]],
  "sg": "C2/m, No. 12",
  "relative_energy_mev_per_atom": 113.8,
  "crystal_system": "monoclinic",
  "dft_energy_ev_per_atom": -7.05,
  "magnetic_moment_mub_per_cell": 0.0,
  "e_form_ev_per_atom": -0.107
}

***

Record 2
{
  "formula": "NiB2Pt8",
  "functional": "PBE-GGA",
  "state": "relaxed",
  "cell": [[-1.655, 0.662, 4.093], [-4.425, -4.553, -0.909], [1.568, -5.970, 1.743]],
  "species": ["Pt", "Pt", "Pt", "Pt", "Pt", "Pt", "Pt", "Pt", "B", "B", "Ni"],
  "fractional_positions": [[0.688, 0.633, 0.174], [0.312, 0.826, 0.367], [0.699, 0.202, 0.202], [0.688, 0.174, 0.633], [0.818, 0.630, 0.630], [0.182, 0.370, 0.370], [0.301, 0.798, 0.798], [0.312, 0.367, 0.826], [0.180, 0.176, 0.176], [0.820, 0.824, 0.824], [0.000, 0.000, 0.000]],
  "sg": "C2/m, No. 12",
  "crystal_system": "monoclinic",
  "dft_energy_ev_per_atom": -6.12,
  "magnetic_moment_mub_per_cell": 0.0,
  "e_form_ev_per_atom": 0.010
}

***

Record 3
{
  "formula": "Dy4CuPt3",
  "functional": "PBE-GGA",
  "state": "relaxed",
  "cell": [[-2.895, 1.209, 2.116], [-2.480, -3.417, -1.441], [3.423, -5.873, 8.037]],
  "species": ["Pt", "Pt", "Pt", "Dy", "Dy", "Dy", "Dy", "Cu"],
  "fractional_positions": [[0.500, 0.000, 0.924], [0.000, 0.500, 0.589], [0.000, 0.000, 0.409], [0.500, 0.000, 0.640], [0.000, 0.000, 0.138], [0.000, 0.500, 0.859], [0.500, 0.500, 0.365], [0.500, 0.500, 0.077]],
  "sg": "Pmm2, No. 25",
  "crystal_system": "orthorhombic",
  "dft_energy_ev_per_atom": -6.13,
  "magnetic_moment_mub_per_cell": 0.0,
  "e_form_ev_per_atom": -1.049
}

***

Record 4
{
  "formula": "BaCaAg2",
  "functional": "PBE-GGA",
  "state": "relaxed",
  "cell": [[8.512, 0.000, 0.000], [0.000, 8.512, 0.000], [4.256, 4.256, 3.834]],
  "species": ["Ba", "Ba", "Ag", "Ag", "Ag", "Ag", "Ca", "Ca"],
  "fractional_positions": [[0.750, 0.250, 0.500], [0.000, 0.000, 0.000], [0.594, 0.125, 0.250], [0.156, 0.625, 0.250], [0.375, 0.406, 0.750], [0.875, 0.844, 0.750], [0.500, 0.500, 0.000], [0.250, 0.750, 0.500]],
  "sg": "I-42d, No. 122",
  "relative_energy_mev_per_atom": 262.5,
  "crystal_system": "tetragonal",
  "dft_energy_ev_per_atom": -2.41,
  "magnetic_moment_mub_per_cell": 0.0,
  "e_form_ev_per_atom": -0.006
}

***

Record 5
{
  "formula": "Bi2PtPb3",
  "functional": "PBE-GGA",
  "state": "relaxed",
  "cell": [[6.030, -0.547, 3.015], [-0.831, 5.997, 3.015], [1.086, 1.139, 11.602]],
  "species": ["Pt", "Pt", "Pb", "Pb", "Pb", "Pb", "Pb", "Pb", "Bi", "Bi", "Bi", "Bi"],
  "fractional_positions": [[0.659, 0.341, 0.250], [0.341, 0.659, 0.750], [0.817, 0.008, 0.441], [0.992, 0.183, 0.059], [0.008, 0.817, 0.941], [0.183, 0.992, 0.559], [0.355, 0.645, 0.250], [0.645, 0.355, 0.750], [0.451, 0.220, 0.130], [0.780, 0.549, 0.370], [0.220, 0.451, 0.630], [0.549, 0.780, 0.870]],
  "sg": "C2/c, No. 15",
  "crystal_system": "monoclinic",
  "dft_energy_ev_per_atom": -4.22,
  "magnetic_moment_mub_per_cell": 0.0,
  "e_form_ev_per_atom": -0.062
}

***

Record 6
{
  "formula": "ErScGe",
  "functional": "PBE-GGA",
  "state": "relaxed",
  "cell": [[3.550, 0.000, 0.000], [0.000, 3.550, 0.000], [-1.775, -1.775, 5.437]],
  "species": ["Ge", "Sc", "Er"],
  "fractional_positions": [[0.272, 0.272, 0.545], [0.640, 0.640, 0.279], [0.938, 0.938, 0.876]],
  "sg": "I4mm, No. 107",
  "relative_energy_mev_per_atom": 284.8,
  "crystal_system": "tetragonal",
  "dft_energy_ev_per_atom": -5.60,
  "magnetic_moment_mub_per_cell": 1.4,
  "e_form_ev_per_atom": -0.426
}

***

Record 7
{
  "formula": "K4YTm3Se8",
  "functional": "PBE-GGA",
  "state": "relaxed",
  "cell": [[-1.470, -7.502, 3.367], [8.410, -2.614, -2.152], [-0.820, 6.895, 4.644]],
  "species": ["K", "K", "K", "K", "Tm", "Tm", "Tm", "Se", "Se", "Se", "Se", "Se", "Se", "Se", "Se", "Y"],
  "fractional_positions": [[0.000, 0.000, 0.000], [0.500, 0.000, 0.500], [0.000, 0.000, 0.500], [0.500, 0.000, 0.000], [0.500, 0.500, 0.500], [0.000, 0.500, 0.500], [0.500, 0.500, 0.000], [0.732, 0.704, 0.968], [0.266, 0.298, 0.532], [0.764, 0.296, 0.528], [0.236, 0.704, 0.968], [0.268, 0.296, 0.032], [0.236, 0.704, 0.472], [0.764, 0.296, 0.032], [0.734, 0.702, 0.468], [0.000, 0.500, 0.000]],
  "sg": "R-3m, No. 166",
  "e_form_raw_mev_per_atom": -1757,
  "crystal_system": "trigonal",
  "dft_energy_ev_per_atom": -5.02,
  "magnetic_moment_mub_per_cell": 0.0
}

***

Record 8
{
  "formula": "SbRuF2",
  "functional": "PBE-GGA",
  "state": "relaxed",
  "cell": [[1.716, 0.000, 8.293], [-0.858, 1.486, 8.293], [-0.858, -1.486, 8.293]],
  "species": ["F", "F", "Ru", "Sb"],
  "fractional_positions": [[0.920, 0.920, 0.920], [0.080, 0.080, 0.080], [0.000, 0.000, 0.000], [0.500, 0.500, 0.500]],
  "sg": "R-3m, No. 166",
  "relative_energy_mev_per_atom": 0.0,
  "e_form_raw_mev_per_atom": -662,
  "crystal_system": "trigonal",
  "dft_energy_ev_per_atom": -4.95,
  "magnetic_moment_mub_per_cell": 1.5
}

***

Record 9
{
  "formula": "AcCdAgIr",
  "functional": "PBE-GGA",
  "state": "relaxed",
  "cell": [[-1.535, 4.392, -2.081], [-3.582, -0.013, -3.626], [-4.657, 1.809, 1.012]],
  "species": ["Ag", "Ac", "Ir", "Cd"],
  "fractional_positions": [[0.500, 0.500, 0.500], [0.250, 0.250, 0.250], [0.000, 0.000, 0.000], [0.750, 0.750, 0.750]],
  "sg": "F-43m, No. 216",
  "crystal_system": "cubic",
  "dft_energy_ev_per_atom": -4.30,
  "magnetic_moment_mub_per_cell": 0.0,
  "e_form_ev_per_atom": -0.118
}

***

Record 10
{
  "formula": "Sr2CeHg3",
  "functional": "PBE-GGA",
  "state": "relaxed",
  "cell": [[-1.394, -0.436, -5.356], [-1.756, -8.441, -1.732], [-7.650, 1.203, 1.894]],
  "species": ["Ce", "Ce", "Sr", "Sr", "Sr", "Sr", "Hg", "Hg", "Hg", "Hg", "Hg", "Hg"],
  "fractional_positions": [[0.666, 0.667, 0.000], [0.334, 0.333, 0.000], [0.334, 0.333, 0.500], [0.000, 0.000, 0.500], [0.000, 0.000, 0.000], [0.666, 0.667, 0.500], [0.171, 0.658, 0.232], [0.829, 0.342, 0.232], [0.500, 0.000, 0.238], [0.171, 0.658, 0.768], [0.829, 0.342, 0.768], [0.500, 0.000, 0.762]],
  "sg": "Cmmm, No. 65",
  "crystal_system": "orthorhombic",
  "dft_energy_ev_per_atom": -2.15,
  "magnetic_moment_mub_per_cell": 2.1,
  "e_form_ev_per_atom": -0.447
}

***

Record 11
{
  "formula": "LiTlRe2",
  "functional": "PBE-GGA",
  "state": "relaxed",
  "cell": [[-1.237, -2.220, 1.093], [1.974, -0.688, -1.812], [6.399, -0.113, 7.015]],
  "species": ["Li", "Re", "Re", "Tl"],
  "fractional_positions": [[0.500, 0.500, 0.750], [0.000, 0.000, 0.509], [0.000, 0.000, 0.991], [0.500, 0.500, 0.250]],
  "sg": "Cmmm, No. 65",
  "relative_energy_mev_per_atom": 663.1,
  "crystal_system": "orthorhombic",
  "dft_energy_ev_per_atom": -6.36,
  "magnetic_moment_mub_per_cell": 0.0,
  "e_form_ev_per_atom": 0.934
}

***

Record 12
{
  "formula": "Er8BiSe6",
  "functional": "PBE-GGA",
  "state": "relaxed",
  "cell": [[-2.123, 2.492, 2.296], [-7.974, -0.493, -6.838], [0.542, -6.863, 7.949]],
  "species": ["Bi", "Er", "Er", "Er", "Er", "Er", "Er", "Er", "Er", "Se", "Se", "Se", "Se", "Se", "Se"],
  "fractional_positions": [[0.500, 0.000, 0.000], [0.253, 0.290, 0.328], [0.747, 0.962, 0.290], [0.251, 0.667, 0.333], [0.747, 0.710, 0.672], [0.749, 0.333, 0.667], [0.253, 0.672, 0.962], [0.747, 0.328, 0.038], [0.253, 0.038, 0.710], [0.250, 0.352, 0.868], [0.750, 0.484, 0.352], [0.750, 0.868, 0.516], [0.750, 0.648, 0.132], [0.250, 0.516, 0.648], [0.250, 0.132, 0.484]],
  "sg": "P-3, No. 147",
  "e_form_raw_mev_per_atom": -1286,
  "crystal_system": "trigonal",
  "dft_energy_ev_per_atom": -5.37,
  "magnetic_moment_mub_per_cell": 0.0
}

***

Record 13
{
  "formula": "YPd2Rh2",
  "functional": "PBE-GGA",
  "state": "relaxed",
  "cell": [[-2.256, -1.645, -2.500], [-1.538, -2.049, 2.736], [-6.365, 2.803, 1.090]],
  "species": ["Pd", "Pd", "Rh", "Rh", "Y"],
  "fractional_positions": [[0.399, 0.399, 0.202], [0.601, 0.601, 0.798], [0.750, 0.250, 0.500], [0.250, 0.750, 0.500], [0.000, 0.000, 0.000]],
  "sg": "I4/mmm, No. 139",
  "relative_energy_mev_per_atom": 26.4,
  "crystal_system": "tetragonal",
  "dft_energy_ev_per_atom": -6.55,
  "magnetic_moment_mub_per_cell": 1.0,
  "e_form_ev_per_atom": -0.235
}

***

Record 14
{
  "formula": "LiSbMo2",
  "functional": "PBE-GGA",
  "state": "relaxed",
  "cell": [[4.647, 0.000, 0.000], [0.000, 2.872, 0.003], [0.000, 0.667, 5.152]],
  "species": ["Li", "Sb", "Mo", "Mo"],
  "fractional_positions": [[0.500, 0.750, 0.750], [0.500, 0.250, 0.250], [0.000, 0.442, 0.526], [0.000, 0.058, 0.974]],
  "sg": "P2/m, No. 10",
  "e_form_raw_mev_per_atom": 318,
  "crystal_system": "monoclinic",
  "dft_energy_ev_per_atom": -6.61,
  "magnetic_moment_mub_per_cell": 0.0
}

***

Record 15
{
  "formula": "BeReC2Se",
  "functional": "PBE-GGA",
  "state": "relaxed",
  "cell": [[-1.476, 2.099, 2.731], [3.296, -1.846, 3.201], [2.375, 2.772, -0.847]],
  "species": ["C", "C", "Se", "Re", "Be"],
  "fractional_positions": [[0.500, 0.000, 0.000], [0.000, 0.000, 0.500], [0.000, 0.000, 0.000], [0.000, 0.500, 0.000], [0.500, 0.500, 0.500]],
  "sg": "P4/mmm, No. 123",
  "e_form_raw_mev_per_atom": 2792,
  "crystal_system": "tetragonal",
  "dft_energy_ev_per_atom": -4.83,
  "magnetic_moment_mub_per_cell": 0.0
}

***

Record 16
{
  "formula": "TcNiS2Cl",
  "functional": "PBE-GGA",
  "state": "relaxed",
  "cell": [[-3.861, -1.790, -2.514], [-1.195, -2.028, 3.279], [-2.717, 3.881, 1.410]],
  "species": ["Tc", "Ni", "Cl", "S", "S"],
  "fractional_positions": [[0.500, 0.500, 0.500], [0.000, 0.500, 0.000], [0.000, 0.000, 0.000], [0.000, 0.000, 0.500], [0.500, 0.000, 0.000]],
  "sg": "P4/mmm, No. 123",
  "relative_energy_mev_per_atom": 794.7,
  "e_form_raw_mev_per_atom": 1350,
  "crystal_system": "tetragonal",
  "dft_energy_ev_per_atom": -3.90,
  "magnetic_moment_mub_per_cell": 5.2
}

***

Record 17
{
  "formula": "Dy6AsP5",
  "functional": "PBE-GGA",
  "state": "relaxed",
  "cell": [[-1.365, -0.272, 6.831], [-4.798, -4.914, 1.220], [1.978, -6.555, 1.322]],
  "species": ["P", "P", "P", "P", "P", "Dy", "Dy", "Dy", "Dy", "Dy", "Dy", "As"],
  "fractional_positions": [[0.500, 0.834, 0.331], [0.500, 0.500, 0.000], [0.500, 0.166, 0.669], [0.000, 0.333, 0.333], [0.000, 0.667, 0.667], [0.252, 0.254, 0.000], [0.252, 0.578, 0.338], [0.748, 0.422, 0.662], [0.748, 0.746, 0.000], [0.252, 0.916, 0.662], [0.748, 0.084, 0.338], [0.000, 0.000, 0.000]],
  "sg": "C2/m, No. 12",
  "crystal_system": "monoclinic",
  "dft_energy_ev_per_atom": -6.54,
  "magnetic_moment_mub_per_cell": 0.0,
  "e_form_ev_per_atom": -1.600
}